No. 1
The following is a SCAN calculation of a PBEsol-optimized structure of Dy5CoBi2, from the Alexandria database.

Unit cell a=12.2025 b=8.7284 c=7.8585 alpha=90.00 beta=90.00 gamma=90.00
Space group Pnma (No. 62)
Inequivalent atoms, fractional coordinates:
Dy1 0.0024 0.2500 0.0501 [4 per cell]
Dy2 0.0623 0.5375 0.3229 [8 per cell]
Dy3 0.1901 0.2500 0.6147 [4 per cell]
Dy4 0.1986 0.7500 0.6499 [4 per cell]
Co1 0.0096 0.2500 0.4317 [4 per cell]
Bi1 0.1740 0.0092 0.9260 [8 per cell]

Computed properties:
- Formation enthalpy at 0 K: -0.62 eV/atom
- V: 837 Å³/cell
- Uncorrected energy: -52.2983 eV per atom
- DOS at the Fermi energy: 0.555 states/eV per atom


No. 2
The following is a SCAN calculation of a PBEsol-optimized structure of Co2ReBiF, from the Alexandria database.

Unit cell a=4.5242 b=4.5242 c=3.9281 alpha=90.00 beta=90.00 gamma=90.00
Space group P4/mmm (No. 123)
Inequivalent atoms, fractional coordinates:
Co1 0.0000 0.5000 0.0000 [2 per cell]
Re1 0.0000 0.0000 0.0000 [1 per cell]
Bi1 0.5000 0.5000 0.5000 [1 per cell]
F1 0.0000 0.0000 0.5000 [1 per cell]

Computed properties:
- V: 80 Å³/cell
- Uncorrected energy: -36.9405 eV per atom
- ΔE_f (raw): 0.62 eV per atom
- DOS at the Fermi energy: 0.942 states/eV per atom